(1)
SmTiAu PBE relaxed; symmetry = P4/nmm; formation energy from the elements = -116 kJ/mol of formula units; DFT total energy = -5.697 eV per atom; DOS at the Fermi energy = 5.50 states/eV per cell
1.0
-3.944 -2.032 0.274
0.683 -0.741 4.329
-3.071 6.170 1.541
Ti Sm Au
2 2 2
direct
0.500 0.500 0.500
0.000 0.000 0.500
0.500 0.000 0.142
0.000 0.500 0.858
0.500 0.000 0.724
0.000 0.500 0.276

(2)
ZrCu4Br PBE relaxed; symmetry = F-43m; DFT total energy = -4.251 eV per atom; DOS at the Fermi energy = 4.05 states/eV per cell; energy relative to the elements, uncorrected = 183 meV per atom
1.0
-1.028 -1.289 4.825
1.026 3.260 3.784
-3.811 2.292 2.494
Zr Br Cu
1 1 4
direct
0.750 0.750 0.750
0.000 0.000 0.000
0.375 0.874 0.375
0.874 0.375 0.375
0.375 0.375 0.874
0.375 0.375 0.375

(3)
K2Cu2NiCl6 PBE relaxed; symmetry = C2/m; DFT total energy = -3.485 eV per atom; energy relative to the elements, uncorrected = -1007 meV per atom
1.0
-2.883 3.278 5.038
-3.990 -6.011 -2.783
3.897 -2.596 3.919
Cl K Cu Ni
6 2 2 1
direct
0.334 0.129 0.753
0.796 0.129 0.753
0.806 0.611 0.733
0.194 0.389 0.267
0.666 0.871 0.247
0.204 0.871 0.247
0.285 0.570 0.799
0.715 0.430 0.201
0.967 0.933 0.766
0.033 0.067 0.234
0.500 0.000 0.500

(4)
SrSi3Tc PBE relaxed; symmetry = Pm-3m; DFT total energy = -5.641 eV per atom; DOS at the Fermi energy = 5.60 states/eV per cell; energy relative to the elements, uncorrected = 22 meV per atom
1.0
4.740 0.000 0.000
0.000 4.740 0.000
0.000 0.000 4.740
Si Sr Tc
3 1 1
direct
0.000 0.000 0.500
0.500 0.000 0.000
0.000 0.500 0.000
0.500 0.500 0.500
0.000 0.000 0.000